Record 1
A PBEsol-optimized structure of Pr3Mg, computed with meta-GGA SCAN.

Calculated values
Total DFT energy (no corrections)   -135.10 eV/f.u.
Volume   123 Å³/cell
Space-group type   No. 139

Cell: 6.1282 6.1282 6.1282 Å, 132.47 132.47 69.49°
Last column: nearest neighbours and their distance in Å.
Positions (direct):
Pr: 0.0000 0.0000 0.0000  4 Mg 3.49, 8 Pr 3.53
Pr: 0.2500 0.7500 0.5000  8 Pr 3.49-3.53, 4 Mg 3.53
Pr: 0.7500 0.2500 0.5000  8 Pr 3.49-3.53, 4 Mg 3.53
Mg: 0.5000 0.5000 0.0000  12 Pr 3.49-3.53



Record 2
A PBEsol-optimized structure of Pr4MgRh, computed with meta-GGA SCAN.

Calculated values
Total DFT energy (no corrections)   -214.37 eV/f.u.
Volume   691 Å³/cell
Space-group type   No. 216

Cell: 9.9238 9.9238 9.9238 Å, 60.00 60.00 60.00°
Last column: nearest neighbours and their distance in Å.
Positions (direct):
Pr: 0.0404 0.6532 0.6532  3 Rh 2.88
Pr: 0.0621 0.0621 0.4379  2 Mg 3.40, 2 Rh 3.58, 10 Pr 3.58-3.73
Pr: 0.0621 0.4379 0.0621  2 Mg 3.40, 2 Rh 3.58, 10 Pr 3.58-3.73
Pr: 0.0621 0.4379 0.4379  2 Mg 3.40, 2 Rh 3.58, 10 Pr 3.58-3.73
Pr: 0.1882 0.1882 0.8118  2 Rh 2.89
Pr: 0.1882 0.8118 0.1882  2 Rh 2.89
Pr: 0.1882 0.8118 0.8118  2 Rh 2.89
Pr: 0.4379 0.0621 0.0621  2 Mg 3.40, 2 Rh 3.58, 10 Pr 3.58-3.73
Pr: 0.4379 0.0621 0.4379  2 Mg 3.40, 2 Rh 3.58, 10 Pr 3.58-3.73
Pr: 0.4379 0.4379 0.0621  2 Mg 3.40, 2 Rh 3.58, 10 Pr 3.58-3.73
Pr: 0.6532 0.0404 0.6532  3 Rh 2.88
Pr: 0.6532 0.6532 0.0404  3 Rh 2.88
Pr: 0.6532 0.6532 0.6532  3 Rh 2.88
Pr: 0.8118 0.1882 0.1882  2 Rh 2.89
Pr: 0.8118 0.1882 0.8118  2 Rh 2.89
Pr: 0.8118 0.8118 0.1882  2 Rh 2.89
Mg: 0.4207 0.4207 0.4207  3 Mg 3.15, 3 Pr 3.40
Mg: 0.4207 0.4207 0.7379  3 Mg 3.15, 3 Pr 3.40
Mg: 0.4207 0.7379 0.4207  3 Mg 3.15, 3 Pr 3.40
Mg: 0.7379 0.4207 0.4207  3 Mg 3.15, 3 Pr 3.40
Rh: 0.4264 0.8579 0.8579  6 Pr 2.88-2.89
Rh: 0.8579 0.4264 0.8579  6 Pr 2.88-2.89
Rh: 0.8579 0.8579 0.4264  6 Pr 2.88-2.89
Rh: 0.8579 0.8579 0.8579  6 Pr 2.88-2.89



Record 3
A PBEsol-optimized structure of Pr2MgSe4, computed with meta-GGA SCAN.

Calculated values
Offset from the most stable computed form   0.000 eV per atom
Total DFT energy (no corrections)   -185.29 eV/f.u.
Volume   848 Å³/cell
Space-group type   No. 62
Uncorrected formation energy   -1.907 eV per atom

Cell: 14.3403 8.5274 6.9333 Å, 90.00 90.00 90.00°
Last column: nearest neighbours and their distance in Å.
Positions (direct):
Pr: 0.0000 0.0000 0.0000  6 Se 2.94-2.97
Pr: 0.0000 0.5000 0.0000  6 Se 2.94-2.97
Pr: 0.2299 0.2500 0.4833  6 Se 2.93-2.99
Pr: 0.2701 0.7500 0.9833  6 Se 2.93-2.99
Pr: 0.5000 0.0000 0.5000  6 Se 2.94-2.97
Pr: 0.5000 0.5000 0.5000  6 Se 2.94-2.97
Pr: 0.7299 0.2500 0.0167  6 Se 2.93-2.99
Pr: 0.7701 0.7500 0.5167  6 Se 2.93-2.99
Mg: 0.0968 0.7500 0.4099  4 Se 2.53-2.60
Mg: 0.4032 0.2500 0.9099  4 Se 2.53-2.60
Mg: 0.5968 0.7500 0.0901  4 Se 2.53-2.60
Mg: 0.9032 0.2500 0.5901  4 Se 2.53-2.60
Se: 0.0688 0.2500 0.7437  1 Mg 2.60
Se: 0.0891 0.7500 0.7745  1 Mg 2.53
Se: 0.1733 0.5153 0.2341  1 Mg 2.59
Se: 0.1733 0.9847 0.2341  1 Mg 2.59
Se: 0.3267 0.0153 0.7341  1 Mg 2.59
Se: 0.3267 0.4847 0.7341  1 Mg 2.59
Se: 0.4109 0.2500 0.2745  1 Mg 2.53
Se: 0.4312 0.7500 0.2437  1 Mg 2.60
Se: 0.5688 0.2500 0.7563  1 Mg 2.60
Se: 0.5891 0.7500 0.7255  1 Mg 2.53
Se: 0.6733 0.5153 0.2659  1 Mg 2.59
Se: 0.6733 0.9847 0.2659  1 Mg 2.59
Se: 0.8267 0.0153 0.7659  1 Mg 2.59
Se: 0.8267 0.4847 0.7659  1 Mg 2.59
Se: 0.9109 0.2500 0.2255  1 Mg 2.53
Se: 0.9312 0.7500 0.2563  1 Mg 2.60



> The highest volume belongs to which entry?

Pr2MgSe4



Copy entry 1 word for word.
A PBEsol-optimized structure of Pr3Mg, computed with meta-GGA SCAN.

Calculated values
Total DFT energy (no corrections)   -135.10 eV/f.u.
Volume   123 Å³/cell
Space-group type   No. 139

Cell: 6.1282 6.1282 6.1282 Å, 132.47 132.47 69.49°
Last column: nearest neighbours and their distance in Å.
Positions (direct):
Pr: 0.0000 0.0000 0.0000  4 Mg 3.49, 8 Pr 3.53
Pr: 0.2500 0.7500 0.5000  8 Pr 3.49-3.53, 4 Mg 3.53
Pr: 0.7500 0.2500 0.5000  8 Pr 3.49-3.53, 4 Mg 3.53
Mg: 0.5000 0.5000 0.0000  12 Pr 3.49-3.53